[1]
Entry from Alexandria via LeMat-Bulk: crystalline AcEuHgBi at its relaxed geometry (PBE-GGA).

Cell lengths 5.739, 5.739, 5.739 Å; angles 60.00, 60.00, 60.00 degrees
Atoms (fractional coordinates):
Eu (0.000, 0.000, 0.000)
Bi (0.250, 0.250, 0.250)
Hg (0.750, 0.750, 0.750)
Ac (0.500, 0.500, 0.500)

Summary:
calculated density = 9.80 Mg/m³

---

[2]
Entry from Alexandria via LeMat-Bulk: crystalline AcEuInBi at its relaxed geometry (PBE-GGA).

Cell lengths 5.775, 5.775, 5.775 Å; angles 60.00, 60.00, 60.00 degrees
Atoms (fractional coordinates):
In (0.250, 0.250, 0.250)
Eu (0.500, 0.500, 0.500)
Ac (0.000, 0.000, 0.000)
Bi (0.750, 0.750, 0.750)

Summary:
calculated density = 8.57 Mg/m³

---

Number 1: calculated total energy -5.267 eV/atom, total moment 7.977 μB per formula unit, energy relative to the elements -60.41 kJ per mole of atoms. Number 2: calculated total energy -5.794 eV/atom, total moment 7.278 μB per formula unit, energy relative to the elements -52.39 kJ per mole of atoms.